YInPd3 at its PBEsol-relaxed geometry, computed with meta-GGA SCAN.

Computed properties:
Space-group type: Pm-3m, No. 221
Raw total energy in eV/atom: -31.4377
Formation enthalpy at 0 K in eV per atom: 0.4728
Mass density in g/cm³: 7.24

Unit cell a=4.931 b=4.931 c=4.931 alpha=90.00 beta=90.00 gamma=90.00
Sites, in units of the cell vectors:
Y 0.000 0.000 0.000
In 0.500 0.500 0.500
Pd 0.000 0.000 0.500
Pd 0.000 0.500 0.000
Pd 0.500 0.000 0.000